Record 1
The following is a DFT calculation (meta-GGA SCAN) of a PBEsol-optimized structure of HfGePt3.

```
HfGePt3
1.0
-4.083 0.129 -2.641
-0.361 -4.841 0.322
-2.620 0.467 4.073
Pt Ge Hf
3 1 1
direct
0.000 0.000 0.500
0.000 0.500 0.000
0.500 0.000 0.000
0.500 0.500 0.500
0.000 0.000 0.000
```

Properties
Its crystal system is cubic. The formation energy is 69.4 kJ per mole of atoms. For the raw total energy, the calculation gives -57.748 eV per atom. The space-group type is Pm-3m (221).

=====

Record 2
The following is a DFT calculation (meta-GGA SCAN) of a PBEsol-optimized structure of HfGeTePt2.

```
HfGeTePt2
1.0
-4.373 0.264 -2.180
0.643 -4.491 -1.833
-2.309 -2.117 4.376
Ge Pt Te Hf
1 2 1 1
direct
0.500 0.500 0.500
0.500 0.000 0.000
0.000 0.500 0.000
0.000 0.000 0.500
0.000 0.000 0.000
```

Properties
The calculation puts the uncorrected formation energy at 55.3 kJ/mol of atoms. Its crystal system is tetragonal. For the raw total energy, the calculation gives -51.306 eV per atom. The space-group type is P4/mmm (123).

=====

Record 3
The following is a DFT calculation (meta-GGA SCAN) of a PBEsol-optimized structure of RbHfGe2.

```
RbHfGe2
1.0
-1.797 0.135 4.685
-4.172 -2.539 1.162
0.274 -4.080 2.911
Rb Ge Hf
1 2 1
direct
0.000 0.000 0.000
0.750 0.750 0.750
0.250 0.250 0.250
0.500 0.500 0.500
```

Properties
Its crystal system is cubic. The formation energy is 50.5 kJ per mole of atoms. For the raw total energy, the calculation gives -29.874 eV per atom. The space-group type is Fm-3m (225).

=====

Record 4
The following is a DFT calculation (meta-GGA SCAN) of a PBEsol-optimized structure of RbHfGeSe2.

```
RbHfGeSe2
1.0
5.010 0.000 0.000
0.000 5.348 0.000
0.000 0.000 5.348
Hf Se Rb Ge
1 2 1 1
direct
0.500 0.000 0.000
0.000 0.500 0.000
0.000 0.000 0.500
0.500 0.500 0.500
0.000 0.000 0.000
```

Properties
The calculation puts the uncorrected formation energy at 18.7 kJ/mol of atoms. Its crystal system is tetragonal. For the raw total energy, the calculation gives -28.338 eV per atom. The space-group type is P4/mmm (123).

=====

Record 5
The following is a DFT calculation (meta-GGA SCAN) of a PBEsol-optimized structure of RbHf2GeTe.

```
RbHf2GeTe
1.0
-0.177 -4.911 -1.340
2.978 -1.187 3.959
-4.188 -0.655 2.953
Rb Ge Hf Te
1 1 2 1
direct
0.000 0.000 0.000
0.000 0.000 0.500
0.500 0.000 0.000
0.000 0.500 0.000
0.500 0.500 0.500
```

Properties
The calculation puts the uncorrected formation energy at 216.8 kJ/mol of atoms. Its crystal system is tetragonal. For the raw total energy, the calculation gives -38.238 eV per atom. The space-group type is P4/mmm (123).

=====

Record 6
The following is a DFT calculation (meta-GGA SCAN) of a PBEsol-optimized structure of Hf2ReGe2.

```
Hf2ReGe2
1.0
3.847 0.000 0.000
0.000 6.587 0.000
0.000 0.000 6.587
Hf Ge Re
4 4 2
direct
0.500 0.829 0.329
0.500 0.671 0.829
0.500 0.329 0.171
0.500 0.171 0.671
0.000 0.366 0.866
0.000 0.134 0.366
0.000 0.634 0.134
0.000 0.866 0.634
0.000 0.500 0.500
0.000 0.000 0.000
```

Properties
Its crystal system is tetragonal. The formation energy is -60.9 kJ per mole of atoms. For the raw total energy, the calculation gives -47.555 eV per atom. The space-group type is P4/mbm (127).

=====

Record 7
The following is a DFT calculation (meta-GGA SCAN) of a PBEsol-optimized structure of HfGe2Rh.

```
HfGe2Rh
1.0
7.974 0.000 0.000
0.000 9.183 0.000
0.000 0.000 10.396
Ge Rh Hf
24 12 12
direct
0.348 0.345 0.317
0.000 0.959 0.614
0.000 0.041 0.386
0.652 0.655 0.683
0.652 0.845 0.183
0.000 0.459 0.886
0.500 0.456 0.887
0.500 0.639 0.406
0.500 0.956 0.613
0.500 0.861 0.906
0.000 0.366 0.600
0.652 0.345 0.317
0.000 0.134 0.100
0.348 0.655 0.683
0.000 0.634 0.400
0.500 0.044 0.387
0.000 0.866 0.900
0.348 0.155 0.817
0.500 0.361 0.594
0.500 0.139 0.094
0.348 0.845 0.183
0.652 0.155 0.817
0.500 0.544 0.113
0.000 0.541 0.114
0.250 0.599 0.246
0.750 0.599 0.246
0.246 0.500 0.500
0.250 0.901 0.746
0.250 0.401 0.754
0.750 0.401 0.754
0.750 0.901 0.746
0.250 0.099 0.254
0.750 0.099 0.254
0.754 0.000 0.000
0.246 0.000 0.000
0.754 0.500 0.500
0.756 0.169 0.547
0.756 0.331 0.047
0.756 0.669 0.953
0.000 0.837 0.182
0.756 0.831 0.453
0.000 0.663 0.682
0.244 0.331 0.047
0.244 0.831 0.453
0.244 0.169 0.547
0.000 0.337 0.318
0.000 0.163 0.818
0.244 0.669 0.953
```

Properties
Its crystal system is orthorhombic. The formation energy is -71.1 kJ per mole of atoms. For the raw total energy, the calculation gives -34.392 eV per atom. The space-group type is Pbam (55).

=====

Record 8
The following is a DFT calculation (meta-GGA SCAN) of a PBEsol-optimized structure of HfGeRh3.

```
HfGeRh3
1.0
4.682 0.000 0.000
0.000 4.682 0.000
0.000 0.000 4.682
Hf Ge Rh
1 1 3
direct
0.000 0.000 0.000
0.500 0.500 0.500
0.000 0.000 0.500
0.500 0.000 0.000
0.000 0.500 0.000
```

Properties
Its crystal system is cubic. The formation energy is 86.8 kJ per mole of atoms. For the raw total energy, the calculation gives -35.715 eV per atom. The space-group type is Pm-3m (221).